(1)
## Li3SiSnBO7 (PBE)

Data for a relaxed structure of Li3SiSnBO7.

Computed properties:
Total magnetization (μB/cell): 0.1
Energy (eV/atom): -6.58
Density (kg/m³): 3344
Symmetry: P2_1/m, No. 11
N(E_F) (states/eV/f.u.): 0.00

POSCAR file:
```
Li3SiSnBO7
1.0
-5.2021 4.0183 0.0869
-3.1601 -4.0804 -0.4998
-0.9779 -1.4462 8.3315
O Li Si Sn B
14 6 2 2 2
direct
0.4394 0.8401 0.3032
0.2500 0.3900 0.1141
0.7500 0.9389 0.0736
0.7500 0.5808 0.5419
0.2500 0.4192 0.4581
0.2500 0.5022 0.8303
0.9394 0.1599 0.6968
0.7500 0.6100 0.8859
0.5606 0.1599 0.6968
0.7500 0.4978 0.1697
0.0606 0.8401 0.3032
0.2500 0.8564 0.5906
0.2500 0.0611 0.9264
0.7500 0.1436 0.4094
0.4853 0.2718 0.2479
0.7500 0.2184 0.9001
0.0147 0.2718 0.2479
0.2500 0.7816 0.0999
0.5147 0.7282 0.7521
0.9853 0.7282 0.7521
0.2500 0.7394 0.4205
0.7500 0.2606 0.5795
0.2500 0.2091 0.6790
0.7500 0.7909 0.3210
0.2500 0.3160 0.9667
0.7500 0.6840 0.0333
```

=====

(2)
## LiSm2BO5 (PBE)

Data for a relaxed structure of LiSm2BO5.

Computed properties:
Total magnetization (μB/cell): 0.0
Energy (eV/atom): -7.50
Density (kg/m³): 6427
Symmetry: Cmc2_1, No. 36
N(E_F) (states/eV/f.u.): 0.00

POSCAR file:
```
LiSm2BO5
1.0
-1.0230 2.8970 0.9110
-5.4355 -2.7666 -2.9422
-2.7804 -3.6876 8.6041
Sm B O Li
4 2 10 2
direct
0.1382 0.2763 0.3338
0.8618 0.7237 0.8338
0.8768 0.7537 0.1787
0.1232 0.2463 0.6787
0.5599 0.1199 0.9099
0.4401 0.8801 0.4099
0.6582 0.3163 0.5179
0.3358 0.6716 0.3822
0.4985 0.9969 0.7879
0.3418 0.6837 0.0179
0.0288 0.0577 0.9875
0.5015 0.0031 0.2879
0.2950 0.5901 0.6946
0.6642 0.3284 0.8822
0.7050 0.4099 0.1946
0.9712 0.9423 0.4875
0.8119 0.6238 0.5314
0.1881 0.3762 0.0314
```